This record from Alexandria describes a geometry-optimized PrNiHg structure. The functional is GGA-PBE.

a b c (Å): 4.6835 4.6835 4.6835
angles (deg): 60.00 60.00 60.00
Sites, in units of the cell vectors:
Hg: 0.0000 0.0000 0.0000
Pr: 0.5000 0.5000 0.5000
Ni: 0.2500 0.2500 0.2500

Computed properties:
E_tot = -11.61 eV per formula unit
total magnetization = 0.0 μB per cell



This record from Alexandria describes a geometry-optimized Al2CuAu6 structure. The functional is GGA-PBE.

a b c (Å): 4.1966 6.1461 6.5655
angles (deg): 83.74 71.36 70.04
Sites, in units of the cell vectors:
Al: 0.3448 0.5000 0.8104
Al: 0.6552 0.5000 0.1896
Au: 0.3412 0.8175 0.5000
Au: 0.0216 0.7963 0.1606
Au: 0.9784 0.2037 0.8394
Au: 0.3179 0.2037 0.1606
Au: 0.6821 0.7963 0.8394
Au: 0.6588 0.1825 0.5000
Cu: 0.0000 0.5000 0.5000

Computed properties:
energy above the most stable polymorph in this dataset = 0.000 eV/atom
E_tot = -33.31 eV per formula unit
total magnetization = 0.0 μB per cell



This record from Alexandria describes a geometry-optimized CePuPaN3 structure. The functional is GGA-PBE.

a b c (Å): 3.4621 7.0341 8.6547
angles (deg): 101.55 90.00 90.00
Sites, in units of the cell vectors:
N: 0.7500 0.4294 0.1099
N: 0.7500 0.2055 0.3924
N: 0.2500 0.1265 0.8858
N: 0.2500 0.5706 0.8901
N: 0.2500 0.7945 0.6076
N: 0.7500 0.8735 0.1142
Ce: 0.2500 0.1658 0.1749
Ce: 0.7500 0.8342 0.8251
Pa: 0.7500 0.3319 0.8519
Pa: 0.2500 0.6681 0.1481
Pu: 0.2500 0.1107 0.5249
Pu: 0.7500 0.8893 0.4751

Computed properties:
E_tot = -60.48 eV per formula unit
total magnetization = 2.6 μB per cell



This record from Alexandria describes a geometry-optimized NdSmTe2O8 structure. The functional is GGA-PBE.

a b c (Å): 6.3787 6.3787 6.3787
angles (deg): 107.27 107.27 113.96
Sites, in units of the cell vectors:
O: 0.5145 0.6965 0.8180
O: 0.9464 0.2611 0.3147
O: 0.9464 0.6318 0.6853
O: 0.3682 0.0536 0.3147
O: 0.3035 0.4855 0.1820
O: 0.7389 0.0536 0.6853
O: 0.8785 0.6965 0.1820
O: 0.3035 0.1215 0.8180
Sm: 0.0000 0.0000 0.0000
Nd: 0.2500 0.7500 0.5000
Te: 0.5000 0.5000 0.0000
Te: 0.7500 0.2500 0.5000

Computed properties:
E_tot = -78.46 eV per formula unit
total magnetization = 0.0 μB per cell



This record from Alexandria describes a geometry-optimized TbZr2NpN4 structure. The functional is GGA-PBE.

a b c (Å): 4.7534 4.7534 5.8155
angles (deg): 114.12 114.12 90.00
Sites, in units of the cell vectors:
Tb: 0.5000 0.5000 0.0000
N: 0.5016 0.0016 0.0032
N: 0.2441 0.2441 0.4882
N: 0.9984 0.4984 0.9968
N: 0.7559 0.7559 0.5118
Zr: 0.0000 0.0000 0.0000
Zr: 0.2500 0.7500 0.5000
Np: 0.7500 0.2500 0.5000

Computed properties:
E_tot = -80.33 eV per formula unit
total magnetization = 2.9 μB per cell



This record from Alexandria describes a geometry-optimized Pu2SiTe structure. The functional is GGA-PBE.

a b c (Å): 4.2780 4.2780 7.3671
angles (deg): 73.12 73.12 60.00
Sites, in units of the cell vectors:
Pu: 0.7399 0.7399 0.7803
Pu: 0.2601 0.2601 0.2197
Si: 0.0000 0.0000 0.0000
Te: 0.5000 0.5000 0.5000

Computed properties:
energy above the most stable polymorph in this dataset = 0.105 eV/atom
E_tot = -39.57 eV per formula unit
total magnetization = 10.0 μB per cell



This record from Alexandria describes a geometry-optimized Cu3BiSb structure. The functional is GGA-PBE.

a b c (Å): 4.8817 4.8817 4.8817
angles (deg): 90.00 90.00 90.00
Sites, in units of the cell vectors:
Cu: 0.0000 0.0000 0.5000
Cu: 0.5000 0.0000 0.0000
Cu: 0.0000 0.5000 0.0000
Bi: 0.5000 0.5000 0.5000
Sb: 0.0000 0.0000 0.0000

Computed properties:
energy above the most stable polymorph in this dataset = 0.000 eV/atom
E_tot = -17.10 eV per formula unit
total magnetization = 0.0 μB per cell



This record from Alexandria describes a geometry-optimized CaSi3Pd5 structure. The functional is GGA-PBE.

a b c (Å): 3.9204 6.5787 12.7032
angles (deg): 90.00 90.00 107.34
Sites, in units of the cell vectors:
Pd: 0.0000 0.0000 0.5000
Pd: 0.7952 0.5903 0.4254
Pd: 0.7952 0.5903 0.0746
Pd: 0.5518 0.1035 0.8550
Pd: 0.2048 0.4097 0.9254
Pd: 0.2048 0.4097 0.5746
Pd: 0.4482 0.8965 0.3550
Pd: 0.4482 0.8965 0.1450
Pd: 0.0000 0.0000 0.0000
Pd: 0.5518 0.1035 0.6450
Ca: 0.1529 0.3059 0.2500
Ca: 0.8471 0.6941 0.7500
Si: 0.8875 0.7751 0.2500
Si: 0.6150 0.2301 0.0380
Si: 0.3850 0.7699 0.5380
Si: 0.6150 0.2301 0.4620
Si: 0.3850 0.7699 0.9620
Si: 0.1125 0.2249 0.7500

Computed properties:
E_tot = -50.36 eV per formula unit
total magnetization = 0.0 μB per cell



Computed DOS at the Fermi energy, in the same sequence as the records: 0.8240 0.3402 1.2677 0.1815 0.8371 5.0592 0.7423 0.4530 states/eV per atom.